# 1
FeTcNi2: relaxed, PBEsol.

Output
E_form   24.0 kJ per mole of atoms
Excess energy over the best structure of this formula in the dataset   243 meV/atom

Unit cell a=5.700 b=5.700 c=5.700 alpha=90.00 beta=90.00 gamma=90.00
Space group Fm-3m (No. 225)
Unique sites:
Fe 0.000 0.000 0.000 x4
Tc 0.000 0.000 0.500 x4
Ni 0.250 0.250 0.250 x8

# 2
Mn2ReH2: relaxed, PBEsol.

Unit cell a=2.690 b=2.690 c=11.428 alpha=90.00 beta=90.00 gamma=90.00
Space group I4/mmm (No. 139)
Unique sites:
Mn 0.000 0.000 0.154 x4
Re 0.000 0.000 0.500 x2
H 0.000 0.500 0.250 x4

# 3
AgNF2: relaxed, PBEsol.

Output
Formation energy without anion corrections   0.632 eV/atom

Unit cell a=3.667 b=3.667 c=13.965 alpha=90.00 beta=90.00 gamma=90.00
Space group I-42d (No. 122)
Unique sites:
Ag 0.000 0.000 0.000 x4
N 0.000 0.000 0.500 x4
F 0.225 0.250 0.625 x8

# 4
K4TaSb: relaxed, PBEsol.

Output
Formation energy without anion corrections   1.084 eV/atom

Unit cell a=9.313 b=9.313 c=9.313 alpha=90.00 beta=90.00 gamma=90.00
Space group F-43m (No. 216)
Unique sites:
K 0.124 0.124 0.124 x16
Ta 0.000 0.000 0.500 x4
Sb 0.250 0.250 0.750 x4

# 5
BaHf2ZrTi: relaxed, PBEsol.

Output
E_form   143.8 kJ per mole of atoms

Unit cell a=5.112 b=5.112 c=5.719 alpha=90.00 beta=90.00 gamma=90.00
Space group P4/mmm (No. 123)
Unique sites:
Ba 0.000 0.000 0.000 x1
Hf 0.000 0.500 0.500 x2
Zr 0.000 0.000 0.500 x1
Ti 0.500 0.500 0.000 x1

# 6
Li2TaCo: relaxed, PBEsol.

Output
E_form   31.0 kJ per mole of atoms
Excess energy over the best structure of this formula in the dataset   135 meV/atom

Unit cell a=5.877 b=5.877 c=5.877 alpha=90.00 beta=90.00 gamma=90.00
Space group F-43m (No. 216)
Unique sites:
Li 0.000 0.000 0.000 x4
Li 0.250 0.250 0.250 x4
Ta 0.000 0.000 0.500 x4
Co 0.250 0.250 0.750 x4

| no. | calculated total energy (eV per cell) |
| --- | --- |
| 1 | -126.2 |
| 2 | -78.8 |
| 3 | -52.7 |
| 4 | -60.6 |
| 5 | -33.1 |
| 6 | -91.8 |